(i)
Crystalline PuNpSn at its relaxed geometry. Source: the Alexandria database, functional PBE.

mass density: 13.329 Mg/m³

Cell: 5.0609 5.0609 3.3681 Å, 90.00 90.00 120.00°
Closest atoms and distances in Å follow each position.
Space group P3m1 (No. 156)
Symmetry-distinct sites (fractional):
Pu: 0.0000 0.0000 0.0000 x1  3 Np 2.93
Np: 0.6667 0.3333 0.0819 x1  3 Pu 2.93
Sn: 0.3333 0.6667 0.5439 x1  6 Pu 3.30-3.45, 6 Np 3.31-3.44, 2 Sn 3.37

=====

(ii)
Crystalline PuNpSn at its relaxed geometry. Source: the Alexandria database, functional PBE.

mass density: 14.650 Mg/m³

Cell: 8.5586 3.5640 8.9285 Å, 90.00 93.25 90.00°
Closest atoms and distances in Å follow each position.
Space group C2/m (No. 12)
Symmetry-distinct sites (fractional):
Pu: 0.1912 0.0000 0.3272 x4  3 Np 2.45-2.66
Np: 0.0017 0.5000 0.3662 x4  1 Np 2.39, 3 Pu 2.45-2.66
Sn: 0.1298 0.0000 0.9029 x4  3 Sn 2.89-3.16, 2 Np 3.15, 2 Pu 3.18

=====

The structure with the least stability is (ii).

=====

(i)
Crystalline Pu2NpSn at its relaxed geometry. Source: the Alexandria database, functional PBE.

mass density: 13.675 Mg/m³

Cell: 3.6689 3.6689 26.3668 Å, 90.00 90.00 120.00°
Closest atoms and distances in Å follow each position.
Space group R-3m (No. 166, hexagonal axes)
Symmetry-distinct sites (fractional):
Pu: 0.0000 0.0000 0.1172 x6  3 Np 2.49
Np: 0.0000 0.0000 0.5000 x3  6 Pu 2.49
Sn: 0.0000 0.0000 0.0000 x3  2 Pu 3.09

=====

(ii)
Crystalline Pu2NpSn at its relaxed geometry. Source: the Alexandria database, functional PBE.

mass density: 13.613 Mg/m³

Cell: 4.7004 4.7004 4.6580 Å, 90.00 90.00 90.00°
Closest atoms and distances in Å follow each position.
Space group P4/mmm (No. 123)
Symmetry-distinct sites (fractional):
Pu: 0.0000 0.5000 0.0000 x2  4 Sn 3.31, 4 Np 3.31, 4 Pu 3.32
Np: 0.0000 0.0000 0.5000 x1  8 Pu 3.31, 4 Sn 3.32
Sn: 0.5000 0.5000 0.5000 x1  8 Pu 3.31, 4 Np 3.32

=====

The structure with the least stability is (i).

=====

(i)
Crystalline PuNpTe2 at its relaxed geometry. Source: the Alexandria database, functional PBE.

mass density: 11.325 Mg/m³

Cell: 3.7778 3.7778 7.5638 Å, 90.00 90.00 90.00°
Closest atoms and distances in Å follow each position.
Space group P4/mmm (No. 123)
Symmetry-distinct sites (fractional):
Pu: 0.0000 0.0000 0.0000 x1  8 Te 3.28
Np: 0.0000 0.0000 0.5000 x1  8 Te 3.26
Te: 0.5000 0.5000 0.2526 x2  4 Np 3.26, 4 Pu 3.28

=====

(ii)
Crystalline PuNpTe2 at its relaxed geometry. Source: the Alexandria database, functional PBE.

mass density: 9.897 Mg/m³

Cell: 4.2642 4.2642 23.5322 Å, 90.00 90.00 120.00°
Closest atoms and distances in Å follow each position.
Space group R3m (No. 160, hexagonal axes)
Symmetry-distinct sites (fractional):
Pu: 0.0000 0.0000 0.0000 x3  6 Te 3.11-3.15
Np: 0.0000 0.0000 0.8312 x3  6 Te 3.15-3.18
Te: 0.0000 0.0000 0.4142 x3  3 Pu 3.11, 3 Np 3.15
Te: 0.0000 0.0000 0.5833 x3  3 Pu 3.15, 3 Np 3.18

=====

The structure with the least stability is (ii).